Record 1
Crystalline CrTe4 at its relaxed geometry, computed with PBE-GGA.

Raw formation energy, eV/atom: 0.34
ρ, Mg/m³: 6.55
Uncorrected energy, eV/atom: -4.093
Energy above the most stable polymorph in this dataset, eV per atom: 0.137

Cell: 5.224 5.224 5.224 Å, 90.00 90.00 90.00°
Space group Pm-3m (No. 221)
Inequivalent atoms, fractional coordinates:
Cr 0.000 0.000 0.000 [1 per cell]
Te 0.000 0.000 0.500 [3 per cell]
Te 0.500 0.500 0.500 [1 per cell]

---

Record 2
Crystalline PrSc2CdHg4 at its relaxed geometry, computed with PBE-GGA.

ρ, Mg/m³: 9.85
Formation energy, eV/atom: -0.332
Uncorrected energy, eV/atom: -2.778

Cell: 4.9314 4.9314 27.5232 Å, 90.00 90.00 120.00°
Space group R-3m (No. 166, hexagonal axes)
Inequivalent atoms, fractional coordinates:
Pr 0.0000 0.0000 0.0000 [3 per cell]
Sc 0.0000 0.0000 0.2367 [6 per cell]
Cd 0.0000 0.0000 0.5000 [3 per cell]
Hg 0.0000 0.0000 0.1234 [6 per cell]
Hg 0.0000 0.0000 0.3872 [6 per cell]

---

| no. | total magnetic moment (μB per atom) |
| --- | --- |
| 1 | 0.53 |
| 2 | 0.00 |